YSbF2 | PBEsol | relaxed

extended XYZ file:
```
4
Lattice="4.557 0.000 0.000 2.278 3.946 0.000 2.278 1.315 3.721" Properties=species:S:1:pos:R:3 pbc="T T T"
Sb 4.557 2.631 1.860
F 6.835 3.946 2.791
F 2.278 1.315 0.930
Y 0.000 0.000 0.000
```

Output
- Total magnetic moment: 0.0 μB per formula unit
- SG: Fm-3m (225)
- Energy relative to the elements, uncorrected: -1.72 eV per atom
- DFT total energy: -5.52 eV/atom